Record 1
Here is a relaxed structure of As2OsPb2 from Alexandria via LeMat-Bulk. Energies are from PBE.

Output
**Formation energy from the elements**: 0.1573 eV per atom

Geometry as POSCAR:
```
As2OsPb2
1.0
-4.249 2.882 -3.792
-4.763 -2.611 3.352
-0.033 4.435 3.408
Pb As Os
4 4 2
direct
0.186 0.686 0.500 Pb
0.686 0.814 0.500 Pb
0.814 0.314 0.500 Pb
0.314 0.186 0.500 Pb
0.360 0.860 0.000 As
0.860 0.640 0.000 As
0.640 0.140 0.000 As
0.140 0.360 0.000 As
0.000 0.000 0.000 Os
0.500 0.500 0.000 Os
```

Record 2
Here is a relaxed structure of Tb4YSc3 from Alexandria via LeMat-Bulk. Energies are from PBE.

Output
**Excess energy over the best structure of this formula in the dataset**: 0 meV/atom
**Formation energy from the elements**: 0.0334 eV per atom

Geometry as POSCAR:
```
Tb4YSc3
1.0
-2.357 -4.586 3.247
5.414 -4.102 -1.863
5.578 3.365 8.801
Tb Y Sc
8 2 6
direct
0.136 0.869 0.000 Tb
0.649 0.132 0.000 Tb
0.982 0.132 0.256 Tb
0.482 0.868 0.244 Tb
0.149 0.868 0.500 Tb
0.636 0.131 0.500 Tb
0.482 0.868 0.756 Tb
0.982 0.132 0.744 Tb
0.153 0.382 0.000 Y
0.653 0.618 0.500 Y
0.651 0.618 0.000 Sc
0.980 0.619 0.251 Sc
0.480 0.381 0.249 Sc
0.151 0.382 0.500 Sc
0.480 0.381 0.751 Sc
0.980 0.619 0.749 Sc
```

Record 3
Here is a relaxed structure of Cu5Ir3 from Alexandria via LeMat-Bulk. Energies are from PBE.

Output
**Excess energy over the best structure of this formula in the dataset**: 137 meV/atom
**Formation energy from the elements**: 0.3087 eV per atom

Geometry as POSCAR:
```
Cu5Ir3
1.0
7.378 -0.002 0.000
3.695 6.386 0.000
0.000 0.000 4.643
Ir Cu
6 10
direct
0.588 0.000 0.250 Ir
0.412 0.000 0.750 Ir
0.412 0.588 0.250 Ir
0.000 0.412 0.250 Ir
0.000 0.588 0.750 Ir
0.588 0.412 0.750 Ir
0.667 0.667 0.000 Cu
0.333 0.333 0.500 Cu
0.333 0.333 0.000 Cu
0.667 0.667 0.500 Cu
0.212 0.000 0.250 Cu
0.788 0.000 0.750 Cu
0.788 0.212 0.250 Cu
0.000 0.788 0.250 Cu
0.000 0.212 0.750 Cu
0.212 0.788 0.750 Cu
```

Record 4
Here is a relaxed structure of NdEr3Co2 from Alexandria via LeMat-Bulk. Energies are from PBE.

Output
**Formation energy from the elements**: -0.0372 eV per atom

Geometry as POSCAR:
```
NdEr3Co2
1.0
4.941 0.000 0.000
-2.470 8.630 -0.525
0.000 -4.362 6.773
Nd Er Co
2 6 4
direct
0.870 0.739 0.957 Nd
0.130 0.261 0.043 Nd
0.319 0.637 0.632 Er
0.932 0.863 0.593 Er
0.632 0.264 0.755 Er
0.368 0.736 0.245 Er
0.068 0.137 0.407 Er
0.681 0.363 0.368 Er
0.505 0.009 0.860 Co
0.495 0.991 0.140 Co
0.776 0.553 0.185 Co
0.224 0.447 0.815 Co
```

Record 5
Here is a relaxed structure of Zn2AgPd3 from Alexandria via LeMat-Bulk. Energies are from PBE.

Output
**Formation energy from the elements**: -0.4202 eV per atom

Geometry as POSCAR:
```
Zn2AgPd3
1.0
2.966 0.000 0.000
0.000 2.966 0.000
0.000 0.000 10.324
Zn Ag Pd
2 1 3
direct
0.500 0.500 0.839 Zn
0.500 0.500 0.161 Zn
0.500 0.500 0.500 Ag
0.000 0.000 0.000 Pd
0.000 0.000 0.689 Pd
0.000 0.000 0.311 Pd
```

Record 6
Here is a relaxed structure of Cs7PdAu4 from Alexandria via LeMat-Bulk. Energies are from PBE.

Output
**Formation energy from the elements**: -0.1935 eV per atom

Geometry as POSCAR:
```
Cs7PdAu4
1.0
5.053 0.000 0.000
-2.526 8.273 -2.154
0.000 -0.016 15.117
Cs Pd Au
7 1 4
direct
0.751 0.502 0.366 Cs
0.269 0.539 0.639 Cs
0.338 0.676 0.946 Cs
0.653 0.305 0.052 Cs
0.034 0.067 0.776 Cs
0.959 0.918 0.218 Cs
0.500 0.999 0.509 Cs
0.889 0.779 0.577 Pd
0.695 0.390 0.814 Au
0.301 0.602 0.184 Au
0.995 0.990 0.998 Au
0.116 0.232 0.419 Au
```

Record 7
Here is a relaxed structure of CsTlCdAu3 from Alexandria via LeMat-Bulk. Energies are from PBE.

Output
**Formation energy from the elements**: -0.1508 eV per atom

Geometry as POSCAR:
```
CsTlCdAu3
1.0
-2.335 6.317 -1.661
-5.336 -0.689 4.892
-0.381 2.238 9.057
Cs Tl Cd Au
2 2 2 6
direct
0.250 0.324 0.465 Cs
0.750 0.676 0.535 Cs
0.250 0.609 0.756 Tl
0.750 0.391 0.244 Tl
0.750 0.978 0.996 Cd
0.250 0.022 0.004 Cd
0.460 0.736 0.953 Au
0.961 0.264 0.047 Au
0.750 0.069 0.651 Au
0.540 0.264 0.047 Au
0.039 0.736 0.953 Au
0.250 0.931 0.349 Au
```

Record 8
Here is a relaxed structure of PmNd4In2 from Alexandria via LeMat-Bulk. Energies are from PBE.

Output
**Excess energy over the best structure of this formula in the dataset**: 0 meV/atom
**Formation energy from the elements**: -0.0664 eV per atom

Geometry as POSCAR:
```
PmNd4In2
1.0
8.570 0.000 0.000
0.000 6.304 -2.248
0.000 0.719 7.975
In Nd Pm
4 8 2
direct
0.896 0.561 0.164 In
0.104 0.439 0.836 In
0.396 0.939 0.836 In
0.604 0.061 0.164 In
0.758 0.677 0.794 Nd
0.594 0.738 0.433 Nd
0.906 0.238 0.433 Nd
0.742 0.177 0.794 Nd
0.258 0.823 0.206 Nd
0.094 0.762 0.567 Nd
0.406 0.262 0.567 Nd
0.242 0.323 0.206 Nd
0.000 0.000 0.000 Pm
0.500 0.500 0.000 Pm
```

Record 9
Here is a relaxed structure of Rb2Np3PaO12 from Alexandria via LeMat-Bulk. Energies are from PBE.

Output
**E**: -8.9571 eV/atom

Geometry as POSCAR:
```
Rb2Np3PaO12
1.0
7.914 0.025 0.018
3.930 6.869 0.018
3.930 2.288 6.477
Rb Np Pa O
2 3 1 12
direct
0.624 0.624 0.624 Rb
0.376 0.376 0.376 Rb
0.500 0.000 0.000 Np
0.000 0.500 0.000 Np
0.000 0.000 0.500 Np
0.000 0.000 0.000 Pa
0.313 0.313 0.932 O
0.931 0.931 0.327 O
0.327 0.931 0.931 O
0.932 0.313 0.313 O
0.931 0.327 0.931 O
0.313 0.932 0.313 O
0.687 0.687 0.068 O
0.069 0.069 0.673 O
0.673 0.069 0.069 O
0.068 0.687 0.687 O
0.069 0.673 0.069 O
0.687 0.068 0.687 O
```

Record 10
Here is a relaxed structure of MgSnBr2 from Alexandria via LeMat-Bulk. Energies are from PBE.

Output
**Excess energy over the best structure of this formula in the dataset**: 446 meV/atom

Geometry as POSCAR:
```
MgSnBr2
1.0
6.259 -4.153 6.882
7.909 -5.246 3.702
8.618 -1.847 5.108
Mg Sn Br
1 1 2
direct
0.000 0.000 0.000 Mg
0.500 0.500 0.500 Sn
0.914 0.914 0.914 Br
0.086 0.086 0.086 Br
```

| no. | density (g/cm³) |
| --- | --- |
| 1 | 11.0 |
| 2 | 6.1 |
| 3 | 13.6 |
| 4 | 9.1 |
| 5 | 10.2 |
| 6 | 4.8 |
| 7 | 9.8 |
| 8 | 7.1 |
| 9 | 6.2 |
| 10 | 4.2 |